The following is a DFT calculation (PBE) of a relaxed Zr2CuAg crystal.

Cell: 3.029 3.029 8.196 Å, 90.00 90.00 90.00°
Atoms (fractional coordinates):
Cu 0.500 0.500 0.750
Zr 0.000 0.000 0.980
Zr 0.000 0.000 0.520
Ag 0.500 0.500 0.250

Volume   18.795 Å³ per atom
VASP energy   -6.055 eV per atom
Energy of formation   -43.9 meV/atom
Size of the total moment   0.00 μB/f.u.
ρ   7.8 g/cm³